No. 1
First-principles (PBE-GGA) data for a geometry-optimized GdLuNi structure, as listed in Alexandria.

The structure belongs to space group I4mm (No. 107); the cell edges are 3.375, 3.375 and 12.315 Å and the angles 90.00°, 90.00° and 90.00°. The distinct sites, in fractional coordinates, are Gd at (0.000, 0.000, 0.000), Lu at (0.000, 0.000, 0.736) and Ni at (0.000, 0.000, 0.357).

The value obtained for the excess energy over the best structure of this formula in the dataset is 0.000 eV/atom. As for the calculated volume: 140 Å³ per cell. For the formation energy, the calculation gives -263.0 meV per atom. The calculated total energy comes out at -50.34 eV per cell. Its mass density is 9.3 g/cm3.

***

No. 2
First-principles (PBE-GGA) data for a geometry-optimized GdLuNi structure, as listed in Alexandria.

The structure belongs to space group F-43m (No. 216); the cell edges are 6.664, 6.664 and 6.664 Å and the angles 90.00°, 90.00° and 90.00°. The distinct sites, in fractional coordinates, are Gd at (0.000, 0.000, 0.000), Lu at (0.000, 0.000, 0.500) and Ni at (0.250, 0.250, 0.250).

The value obtained for the excess energy over the best structure of this formula in the dataset is 0.087 eV/atom. As for the calculated volume: 296 Å³ per cell. For the formation energy, the calculation gives -176.2 meV per atom. The calculated total energy comes out at -99.65 eV per cell. Its mass density is 8.8 g/cm3.

***

No. 3
First-principles (PBE-GGA) data for a geometry-optimized GdLuNiRh structure, as listed in Alexandria.

The structure belongs to space group F-43m (No. 216); the cell edges are 6.781, 6.781 and 6.781 Å and the angles 90.00°, 90.00° and 90.00°. The distinct sites, in fractional coordinates, are Gd at (0.000, 0.000, 0.000), Lu at (0.000, 0.000, 0.500), Ni at (0.250, 0.250, 0.250) and Rh at (0.250, 0.250, 0.750).

As for the calculated volume: 312 Å³ per cell. For the formation energy, the calculation gives -640.6 meV per atom. The calculated total energy comes out at -137.19 eV per cell. Its mass density is 10.5 g/cm3.

***

No. 4
First-principles (PBE-GGA) data for a geometry-optimized GdLuNiRu structure, as listed in Alexandria.

The structure belongs to space group F-43m (No. 216); the cell edges are 6.742, 6.742 and 6.742 Å and the angles 90.00°, 90.00° and 90.00°. The distinct sites, in fractional coordinates, are Gd at (0.000, 0.000, 0.000), Lu at (0.000, 0.000, 0.500), Ni at (0.250, 0.250, 0.250) and Ru at (0.250, 0.250, 0.750).

As for the calculated volume: 307 Å³ per cell. For the formation energy, the calculation gives -409.6 meV per atom. The calculated total energy comes out at -141.19 eV per cell. Its mass density is 10.7 g/cm3.

***

No. 5
First-principles (PBE-GGA) data for a geometry-optimized GdLuNiSn structure, as listed in Alexandria.

The structure belongs to space group F-43m (No. 216); the cell edges are 7.169, 7.169 and 7.169 Å and the angles 90.00°, 90.00° and 90.00°. The distinct sites, in fractional coordinates, are Gd at (0.000, 0.000, 0.000), Lu at (0.000, 0.000, 0.500), Ni at (0.250, 0.250, 0.750) and Sn at (0.250, 0.250, 0.250).

As for the calculated volume: 368 Å³ per cell. For the formation energy, the calculation gives -437.3 meV per atom. The calculated total energy comes out at -120.54 eV per cell. Its mass density is 9.2 g/cm3.

***

No. 6
First-principles (PBE-GGA) data for a geometry-optimized GdLuO structure, as listed in Alexandria.

The structure belongs to space group P3m1 (No. 156); the cell edges are 3.4557, 3.4557 and 5.8156 Å and the angles 90.00°, 90.00° and 120.00°. The distinct sites, in fractional coordinates, are Gd at (0.0000, 0.0000, 0.0000), Lu at (0.3333, 0.6667, 0.5232) and O at (0.6667, 0.3333, 0.7354).

The formation energy (no corrections) comes out at -1.8081 eV per atom. As for the calculated volume: 60 Å³ per cell. The calculated total energy comes out at -28.98 eV per cell. Its mass density is 9.6 g/cm3.

***

No. 7
First-principles (PBE-GGA) data for a geometry-optimized Gd2LuO structure, as listed in Alexandria.

The structure belongs to space group P4/mmm (No. 123); the cell edges are 3.215, 3.215 and 8.727 Å and the angles 90.00°, 90.00° and 90.00°. The distinct sites, in fractional coordinates, are Gd at (0.000, 0.000, 0.175), Lu at (0.500, 0.500, 0.500) and O at (0.500, 0.500, 0.000).

The formation energy (no corrections) comes out at -0.8785 eV per atom. As for the calculated volume: 90 Å³ per cell. The calculated total energy comes out at -41.15 eV per cell. Its mass density is 9.3 g/cm3.

***

No. 8
First-principles (PBE-GGA) data for a geometry-optimized GdLu3O structure, as listed in Alexandria.

The structure belongs to space group Pm-3m (No. 221); the cell edges are 4.848, 4.848 and 4.848 Å and the angles 90.00°, 90.00° and 90.00°. The distinct sites, in fractional coordinates, are Gd at (0.000, 0.000, 0.000), Lu at (0.000, 0.500, 0.500) and O at (0.500, 0.500, 0.500).

The formation energy (no corrections) comes out at -1.0565 eV per atom. As for the calculated volume: 114 Å³ per cell. The calculated total energy comes out at -37.88 eV per cell. Its mass density is 10.2 g/cm3.

***

No. 9
First-principles (PBE-GGA) data for a geometry-optimized Gd3Lu5O12 structure, as listed in Alexandria.

The structure belongs to space group Ia-3d (No. 230); the cell edges are 13.312, 13.312 and 13.312 Å and the angles 90.00°, 90.00° and 90.00°. The distinct sites, in fractional coordinates, are Gd at (0.000, 0.250, 0.125), Lu at (0.000, 0.000, 0.000), Lu at (0.000, 0.250, 0.375) and O at (0.023, 0.063, 0.652).

The formation energy (no corrections) comes out at -3.4409 eV per atom. As for the calculated volume: 2359 Å³ per cell. The calculated total energy comes out at -1545.31 eV per cell. Its mass density is 8.7 g/cm3.

***

No. 10
First-principles (PBE-GGA) data for a geometry-optimized GdLuOs structure, as listed in Alexandria.

The structure belongs to space group F-43m (No. 216); the cell edges are 6.720, 6.720 and 6.720 Å and the angles 90.00°, 90.00° and 90.00°. The distinct sites, in fractional coordinates, are Gd at (0.000, 0.000, 0.000), Lu at (0.000, 0.000, 0.500) and Os at (0.250, 0.250, 0.750).

The value obtained for the excess energy over the best structure of this formula in the dataset is 0.032 eV/atom. As for the calculated volume: 304 Å³ per cell. For the formation energy, the calculation gives -225.6 meV per atom. The calculated total energy comes out at -122.03 eV per cell. Its mass density is 11.4 g/cm3.

***

No. 11
First-principles (PBE-GGA) data for a geometry-optimized GdLuOs structure, as listed in Alexandria.

The structure belongs to space group I4mm (No. 107); the cell edges are 3.374, 3.374 and 13.022 Å and the angles 90.00°, 90.00° and 90.00°. The distinct sites, in fractional coordinates, are Gd at (0.000, 0.000, 0.000), Lu at (0.000, 0.000, 0.253) and Os at (0.000, 0.000, 0.632).

The value obtained for the excess energy over the best structure of this formula in the dataset is 0.000 eV/atom. As for the calculated volume: 148 Å³ per cell. For the formation energy, the calculation gives -257.3 meV per atom. The calculated total energy comes out at -61.21 eV per cell. Its mass density is 11.7 g/cm3.

***

No. 12
First-principles (PBE-GGA) data for a geometry-optimized GdLuOsPt structure, as listed in Alexandria.

The structure belongs to space group F-43m (No. 216); the cell edges are 6.849, 6.849 and 6.849 Å and the angles 90.00°, 90.00° and 90.00°. The distinct sites, in fractional coordinates, are Gd at (0.000, 0.000, 0.000), Lu at (0.000, 0.000, 0.500), Os at (0.250, 0.250, 0.750) and Pt at (0.250, 0.250, 0.250).

As for the calculated volume: 321 Å³ per cell. For the formation energy, the calculation gives -669.2 meV per atom. The calculated total energy comes out at -154.20 eV per cell. Its mass density is 14.8 g/cm3.

***

No. 13
First-principles (PBE-GGA) data for a geometry-optimized GdLuOsRh structure, as listed in Alexandria.

The structure belongs to space group F-43m (No. 216); the cell edges are 6.792, 6.792 and 6.792 Å and the angles 90.00°, 90.00° and 90.00°. The distinct sites, in fractional coordinates, are Gd at (0.000, 0.000, 0.000), Lu at (0.000, 0.000, 0.500), Os at (0.250, 0.250, 0.750) and Rh at (0.250, 0.250, 0.250).

As for the calculated volume: 313 Å³ per cell. For the formation energy, the calculation gives -497.0 meV per atom. The calculated total energy comes out at -156.68 eV per cell. Its mass density is 13.3 g/cm3.

***

No. 14
First-principles (PBE-GGA) data for a geometry-optimized TbGdLuOs structure, as listed in Alexandria.

The structure belongs to space group F-43m (No. 216); the cell edges are 7.236, 7.236 and 7.236 Å and the angles 90.00°, 90.00° and 90.00°. The distinct sites, in fractional coordinates, are Tb at (0.000, 0.000, 0.000), Gd at (0.000, 0.000, 0.500), Lu at (0.250, 0.250, 0.750) and Os at (0.250, 0.250, 0.250).

As for the calculated volume: 379 Å³ per cell. For the formation energy, the calculation gives 115.8 meV per atom. The calculated total energy comes out at -135.99 eV per cell. Its mass density is 11.9 g/cm3.

***

No. 15
First-principles (PBE-GGA) data for a geometry-optimized GdLuTlOs structure, as listed in Alexandria.

The structure belongs to space group F-43m (No. 216); the cell edges are 7.127, 7.127 and 7.127 Å and the angles 90.00°, 90.00° and 90.00°. The distinct sites, in fractional coordinates, are Gd at (0.000, 0.000, 0.000), Lu at (0.000, 0.000, 0.500), Tl at (0.250, 0.250, 0.250) and Os at (0.250, 0.250, 0.750).

As for the calculated volume: 362 Å³ per cell. For the formation energy, the calculation gives -144.9 meV per atom. The calculated total energy comes out at -131.11 eV per cell. Its mass density is 13.3 g/cm3.

***

No. 16
First-principles (PBE-GGA) data for a geometry-optimized GdLuZnOs structure, as listed in Alexandria.

The structure belongs to space group F-43m (No. 216); the cell edges are 6.900, 6.900 and 6.900 Å and the angles 90.00°, 90.00° and 90.00°. The distinct sites, in fractional coordinates, are Gd at (0.000, 0.000, 0.000), Lu at (0.000, 0.000, 0.500), Zn at (0.250, 0.250, 0.750) and Os at (0.250, 0.250, 0.250).

As for the calculated volume: 329 Å³ per cell. For the formation energy, the calculation gives -285.8 meV per atom. The calculated total energy comes out at -129.00 eV per cell. Its mass density is 11.9 g/cm3.

***

No. 17
First-principles (PBE-GGA) data for a geometry-optimized GdLuP structure, as listed in Alexandria.

The structure belongs to space group P3m1 (No. 156); the cell edges are 3.8489, 3.8489 and 6.3689 Å and the angles 90.00°, 90.00° and 120.00°. The distinct sites, in fractional coordinates, are Gd at (0.0000, 0.0000, 0.0000), Lu at (0.3333, 0.6667, 0.5036) and P at (0.6667, 0.3333, 0.2613).

As for the calculated volume: 82 Å³ per cell. For the formation energy, the calculation gives -952.0 meV per atom. The calculated total energy comes out at -26.87 eV per cell. Its mass density is 7.4 g/cm3.

***

No. 18
First-principles (PBE-GGA) data for a geometry-optimized GdLuPa structure, as listed in Alexandria.

The structure belongs to space group I4mm (No. 107); the cell edges are 3.388, 3.388 and 14.935 Å and the angles 90.00°, 90.00° and 90.00°. The distinct sites, in fractional coordinates, are Gd at (0.000, 0.000, 0.000), Lu at (0.000, 0.000, 0.314) and Pa at (0.000, 0.000, 0.659).

The value obtained for the excess energy over the best structure of this formula in the dataset is 0.029 eV/atom. As for the calculated volume: 171 Å³ per cell. For the formation energy, the calculation gives 139.3 meV per atom. The calculated total energy comes out at -55.36 eV per cell. Its mass density is 10.9 g/cm3.

***

No. 19
First-principles (PBE-GGA) data for a geometry-optimized Gd2LuPa structure, as listed in Alexandria.

The structure belongs to space group P4/mmm (No. 123); the cell edges are 3.406, 3.406 and 10.085 Å and the angles 90.00°, 90.00° and 90.00°. The distinct sites, in fractional coordinates, are Gd at (0.000, 0.000, 0.235), Lu at (0.500, 0.500, 0.500) and Pa at (0.500, 0.500, 0.000).

The value obtained for the excess energy over the best structure of this formula in the dataset is 0.000 eV/atom. As for the calculated volume: 117 Å³ per cell. For the formation energy, the calculation gives 135.3 meV per atom. The calculated total energy comes out at -41.64 eV per cell. Its mass density is 10.2 g/cm3.

***

No. 20
First-principles (PBE-GGA) data for a geometry-optimized Gd2LuPa structure, as listed in Alexandria.

The structure belongs to space group P4/mmm (No. 123); the cell edges are 4.889, 4.889 and 4.875 Å and the angles 90.00°, 90.00° and 90.00°. The distinct sites, in fractional coordinates, are Gd at (0.000, 0.500, 0.000), Lu at (0.000, 0.000, 0.500) and Pa at (0.500, 0.500, 0.500).

The value obtained for the excess energy over the best structure of this formula in the dataset is 0.084 eV/atom. As for the calculated volume: 117 Å³ per cell. For the formation energy, the calculation gives 219.7 meV per atom. The calculated total energy comes out at -41.30 eV per cell. Its mass density is 10.3 g/cm3.